Here is a relaxed structure of TbPmLuMn from Alexandria via LeMat-Bulk. Energies are from PBE.

Output
**Energy relative to the elements**: 26 kJ/mol of atoms
**Total magnetization**: 3.44 μB per formula unit
**Calculated density**: 8.12 g/cm3

Cell: 5.3652 5.3652 5.3652 Å, 60.00 60.00 60.00°
Positions (direct):
Tb 0.0000 0.0000 0.0000
Pm 0.5000 0.5000 0.5000
Lu 0.7500 0.7500 0.7500
Mn 0.2500 0.2500 0.2500